1.
Entry from Alexandria: crystalline CaSc2I at its relaxed geometry (PBE-GGA).

Calculated values
* VASP energy: -3.79 eV per atom
* formation energy (no corrections): 0.261 eV per atom
* ΔE to the lowest computed polymorph: 201 meV per atom

Unit cell a=7.6118 b=7.6118 c=7.6118 alpha=90.00 beta=90.00 gamma=90.00
Fractional coordinates of all 16 atoms:
Ca  0.0000  0.0000  0.0000
Ca  0.0000  0.5000  0.5000
Ca  0.5000  0.0000  0.5000
Ca  0.5000  0.5000  0.0000
Sc  0.2500  0.2500  0.2500
Sc  0.2500  0.2500  0.7500
Sc  0.2500  0.7500  0.2500
Sc  0.2500  0.7500  0.7500
Sc  0.7500  0.2500  0.2500
Sc  0.7500  0.2500  0.7500
Sc  0.7500  0.7500  0.2500
Sc  0.7500  0.7500  0.7500
I  0.0000  0.0000  0.5000
I  0.0000  0.5000  0.0000
I  0.5000  0.0000  0.0000
I  0.5000  0.5000  0.5000

=====

2.
Entry from Alexandria: crystalline SnTe2Pd2 at its relaxed geometry (PBE-GGA).

Calculated values
* VASP energy: -4.30 eV per atom
* formation energy (no corrections): -0.164 eV per atom
* ΔE to the lowest computed polymorph: 115 meV per atom

Unit cell a=3.9975 b=3.9975 c=15.1063 alpha=90.00 beta=90.00 gamma=90.00
Fractional coordinates of all 10 atoms:
Sn  0.0000  0.0000  0.0000
Sn  0.5000  0.5000  0.5000
Te  0.0000  0.0000  0.3738
Te  0.0000  0.0000  0.6262
Te  0.5000  0.5000  0.1262
Te  0.5000  0.5000  0.8738
Pd  0.0000  0.5000  0.2500
Pd  0.0000  0.5000  0.7500
Pd  0.5000  0.0000  0.2500
Pd  0.5000  0.0000  0.7500